Entry 1:
DFT (PBE-GGA) results for crystalline CsPmAsO at its relaxed geometry.

Geometry as CIF:
```
data_CsPmAsO
_cell_length_a 3.602
_cell_length_b 8.153
_cell_length_c 8.753
_cell_angle_alpha 90.00
_cell_angle_beta 90.00
_cell_angle_gamma 90.00
_space_group_name_H-M_alt 'P 1'
_space_group_IT_number 1
loop_
_space_group_symop_operation_xyz
'x,y,z'
loop_
_atom_site_label
_atom_site_type_symbol
_atom_site_fract_x
_atom_site_fract_y
_atom_site_fract_z
_atom_site_occupancy
Cs1 Cs 0.000 0.096 0.000 1
Cs2 Cs 0.000 0.904 0.500 1
Pm1 Pm 0.500 0.352 0.378 1
Pm2 Pm 0.500 0.648 0.878 1
As1 As 0.500 0.335 0.712 1
As2 As 0.500 0.665 0.212 1
O1 O 0.000 0.219 0.318 1
O2 O 0.000 0.781 0.818 1
```

Values from the calculation:
Space-group type: Pmc2_1
Crystal system: orthorhombic
DFT total energy, eV per atom: -5.268
Calculated volume, A^3/atom: 32.128

Entry 2:
DFT (PBE-GGA) results for crystalline GdYCd2Cu4 at its relaxed geometry.

Geometry as CIF:
```
data_GdYCd2Cu4
_cell_length_a 4.703
_cell_length_b 4.703
_cell_length_c 6.653
_cell_angle_alpha 90.00
_cell_angle_beta 90.00
_cell_angle_gamma 90.00
_space_group_name_H-M_alt 'P 1'
_space_group_IT_number 1
loop_
_space_group_symop_operation_xyz
'x,y,z'
loop_
_atom_site_label
_atom_site_type_symbol
_atom_site_fract_x
_atom_site_fract_y
_atom_site_fract_z
_atom_site_occupancy
Gd1 Gd 0.000 0.000 0.000 1
Y1 Y 0.500 0.500 0.500 1
Cd1 Cd 0.000 0.000 0.500 1
Cd2 Cd 0.500 0.500 0.000 1
Cu1 Cu 0.000 0.500 0.250 1
Cu2 Cu 0.000 0.500 0.750 1
Cu3 Cu 0.500 0.000 0.250 1
Cu4 Cu 0.500 0.000 0.750 1
```

Values from the calculation:
Space-group type: P4/mmm
Crystal system: tetragonal
ΔH_f (0 K), eV per formula unit: -1.7
Calculated volume, A^3/atom: 18.393

Entry 3:
DFT (PBE-GGA) results for crystalline KBIr at its relaxed geometry.

Geometry as CIF:
```
data_KBIr
_cell_length_a 4.271
_cell_length_b 4.271
_cell_length_c 4.271
_cell_angle_alpha 60.00
_cell_angle_beta 60.00
_cell_angle_gamma 60.00
_space_group_name_H-M_alt 'P 1'
_space_group_IT_number 1
loop_
_space_group_symop_operation_xyz
'x,y,z'
loop_
_atom_site_label
_atom_site_type_symbol
_atom_site_fract_x
_atom_site_fract_y
_atom_site_fract_z
_atom_site_occupancy
K1 K 0.000 0.000 0.000 1
B1 B 0.500 0.500 0.500 1
Ir1 Ir 0.750 0.750 0.750 1
```

Values from the calculation:
Space-group type: F-43m
Crystal system: cubic
DFT total energy, eV per atom: -3.797
Calculated volume, A^3/atom: 18.360

Entry 4:
DFT (PBE-GGA) results for crystalline RbZr2 at its relaxed geometry.

Geometry as CIF:
```
data_RbZr2
_cell_length_a 8.354
_cell_length_b 8.354
_cell_length_c 8.354
_cell_angle_alpha 60.00
_cell_angle_beta 60.00
_cell_angle_gamma 60.00
_space_group_name_H-M_alt 'P 1'
_space_group_IT_number 1
loop_
_space_group_symop_operation_xyz
'x,y,z'
loop_
_atom_site_label
_atom_site_type_symbol
_atom_site_fract_x
_atom_site_fract_y
_atom_site_fract_z
_atom_site_occupancy
Rb1 Rb 0.125 0.125 0.125 1
Rb2 Rb 0.875 0.875 0.875 1
Zr1 Zr 0.000 0.000 0.000 1
Zr2 Zr 0.000 0.000 0.500 1
Zr3 Zr 0.000 0.500 0.000 1
Zr4 Zr 0.500 0.000 0.000 1
```

Values from the calculation:
Space-group type: Fd-3m
Crystal system: cubic
Calculated volume, A^3/atom: 68.719
Offset from the most stable computed form, meV per atom: 3685

Entry 5:
DFT (PBE-GGA) results for crystalline PaAsPO at its relaxed geometry.

Geometry as CIF:
```
data_PaAsPO
_cell_length_a 4.443
_cell_length_b 4.443
_cell_length_c 7.477
_cell_angle_alpha 90.00
_cell_angle_beta 90.00
_cell_angle_gamma 90.00
_space_group_name_H-M_alt 'P 1'
_space_group_IT_number 1
loop_
_space_group_symop_operation_xyz
'x,y,z'
loop_
_atom_site_label
_atom_site_type_symbol
_atom_site_fract_x
_atom_site_fract_y
_atom_site_fract_z
_atom_site_occupancy
Pa1 Pa 0.250 0.750 0.000 1
Pa2 Pa 0.750 0.250 0.000 1
As1 As 0.250 0.250 0.449 1
As2 As 0.750 0.750 0.551 1
P1 P 0.250 0.250 0.778 1
P2 P 0.750 0.750 0.222 1
O1 O 0.250 0.750 0.500 1
O2 O 0.750 0.250 0.500 1
```

Values from the calculation:
Space-group type: P4/nmm
Crystal system: tetragonal
Calculated volume, A^3/atom: 18.449
Offset from the most stable computed form, meV per atom: 1150

Entry 6:
DFT (PBE-GGA) results for crystalline PrGdGe2Pt4 at its relaxed geometry.

Geometry as CIF:
```
data_PrGdGe2Pt4
_cell_length_a 4.413
_cell_length_b 4.413
_cell_length_c 9.415
_cell_angle_alpha 90.00
_cell_angle_beta 90.00
_cell_angle_gamma 120.00
_space_group_name_H-M_alt 'P 1'
_space_group_IT_number 1
loop_
_space_group_symop_operation_xyz
'x,y,z'
loop_
_atom_site_label
_atom_site_type_symbol
_atom_site_fract_x
_atom_site_fract_y
_atom_site_fract_z
_atom_site_occupancy
Pr1 Pr 0.000 0.000 0.000 1
Gd1 Gd 0.333 0.667 0.500 1
Ge1 Ge 0.667 0.333 0.254 1
Ge2 Ge 0.667 0.333 0.746 1
Pt1 Pt 0.000 0.000 0.337 1
Pt2 Pt 0.000 0.000 0.663 1
Pt3 Pt 0.333 0.667 0.179 1
Pt4 Pt 0.333 0.667 0.821 1
```

Values from the calculation:
Space-group type: P-6m2
Crystal system: hexagonal
DFT total energy, eV per atom: -6.269
Calculated volume, A^3/atom: 19.852

Entry 7:
DFT (PBE-GGA) results for crystalline Ga2ReMo at its relaxed geometry.

Geometry as CIF:
```
data_Ga2ReMo
_cell_length_a 4.405
_cell_length_b 4.405
_cell_length_c 4.405
_cell_angle_alpha 60.00
_cell_angle_beta 60.00
_cell_angle_gamma 60.00
_space_group_name_H-M_alt 'P 1'
_space_group_IT_number 1
loop_
_space_group_symop_operation_xyz
'x,y,z'
loop_
_atom_site_label
_atom_site_type_symbol
_atom_site_fract_x
_atom_site_fract_y
_atom_site_fract_z
_atom_site_occupancy
Ga1 Ga 0.000 0.000 0.000 1
Ga2 Ga 0.250 0.250 0.250 1
Re1 Re 0.750 0.750 0.750 1
Mo1 Mo 0.500 0.500 0.500 1
```

Values from the calculation:
Space-group type: F-43m
Crystal system: cubic
DFT total energy, eV per atom: -7.138
Calculated volume, A^3/atom: 15.114

Entry 8:
DFT (PBE-GGA) results for crystalline SmHfAg4 at its relaxed geometry.

Geometry as CIF:
```
data_SmHfAg4
_cell_length_a 3.652
_cell_length_b 3.652
_cell_length_c 9.241
_cell_angle_alpha 90.00
_cell_angle_beta 90.00
_cell_angle_gamma 90.00
_space_group_name_H-M_alt 'P 1'
_space_group_IT_number 1
loop_
_space_group_symop_operation_xyz
'x,y,z'
loop_
_atom_site_label
_atom_site_type_symbol
_atom_site_fract_x
_atom_site_fract_y
_atom_site_fract_z
_atom_site_occupancy
Sm1 Sm 0.000 0.000 0.000 1
Hf1 Hf 0.500 0.500 0.500 1
Ag1 Ag 0.000 0.000 0.342 1
Ag2 Ag 0.000 0.000 0.658 1
Ag3 Ag 0.500 0.500 0.186 1
Ag4 Ag 0.500 0.500 0.814 1
```

Values from the calculation:
Space-group type: P4/mmm
Crystal system: tetragonal
ΔH_f (0 K), eV per formula unit: -0.8
Calculated volume, A^3/atom: 20.536

Entry 9:
DFT (PBE-GGA) results for crystalline NaSrCoTe at its relaxed geometry.

Geometry as CIF:
```
data_NaSrCoTe
_cell_length_a 4.946
_cell_length_b 4.946
_cell_length_c 4.946
_cell_angle_alpha 60.00
_cell_angle_beta 60.00
_cell_angle_gamma 60.00
_space_group_name_H-M_alt 'P 1'
_space_group_IT_number 1
loop_
_space_group_symop_operation_xyz
'x,y,z'
loop_
_atom_site_label
_atom_site_type_symbol
_atom_site_fract_x
_atom_site_fract_y
_atom_site_fract_z
_atom_site_occupancy
Na1 Na 0.000 0.000 0.000 1
Sr1 Sr 0.750 0.750 0.750 1
Co1 Co 0.500 0.500 0.500 1
Te1 Te 0.250 0.250 0.250 1
```

Values from the calculation:
Space-group type: F-43m
Crystal system: cubic
Calculated volume, A^3/atom: 21.387
Offset from the most stable computed form, meV per atom: 121

Entry 10:
DFT (PBE-GGA) results for crystalline LaHfMgIr at its relaxed geometry.

Geometry as CIF:
```
data_LaHfMgIr
_cell_length_a 4.872
_cell_length_b 4.872
_cell_length_c 4.872
_cell_angle_alpha 60.00
_cell_angle_beta 60.00
_cell_angle_gamma 60.00
_space_group_name_H-M_alt 'P 1'
_space_group_IT_number 1
loop_
_space_group_symop_operation_xyz
'x,y,z'
loop_
_atom_site_label
_atom_site_type_symbol
_atom_site_fract_x
_atom_site_fract_y
_atom_site_fract_z
_atom_site_occupancy
La1 La 0.000 0.000 0.000 1
Hf1 Hf 0.250 0.250 0.250 1
Mg1 Mg 0.750 0.750 0.750 1
Ir1 Ir 0.500 0.500 0.500 1
```

Values from the calculation:
Space-group type: F-43m
Crystal system: cubic
Calculated volume, A^3/atom: 20.445
Offset from the most stable computed form, meV per atom: 0

Entry 11:
DFT (PBE-GGA) results for crystalline TlCdCuMo at its relaxed geometry.

Geometry as CIF:
```
data_TlCdCuMo
_cell_length_a 4.704
_cell_length_b 4.704
_cell_length_c 4.704
_cell_angle_alpha 60.00
_cell_angle_beta 60.00
_cell_angle_gamma 60.00
_space_group_name_H-M_alt 'P 1'
_space_group_IT_number 1
loop_
_space_group_symop_operation_xyz
'x,y,z'
loop_
_atom_site_label
_atom_site_type_symbol
_atom_site_fract_x
_atom_site_fract_y
_atom_site_fract_z
_atom_site_occupancy
Tl1 Tl 0.000 0.000 0.000 1
Cd1 Cd 0.500 0.500 0.500 1
Cu1 Cu 0.250 0.250 0.250 1
Mo1 Mo 0.750 0.750 0.750 1
```

Values from the calculation:
Space-group type: F-43m
Crystal system: cubic
Calculated volume, A^3/atom: 18.402
Offset from the most stable computed form, meV per atom: 0